A plane-wave DFT calculation with PBE was carried out for an optimized crystal structure of LaCd2O.

Calculated values
Formation energy from raw total energies = -0.96 eV/atom

abc: 10.2573 10.2573 7.5800
angles: 47.42 47.42 90.00
Fractional coordinates of all 8 atoms:
La1 0.7500 0.2500 0.5000
O1 0.5000 0.5000 0.0000
La2 0.0000 0.0000 0.0000
Cd1 0.2150 0.6250 0.2500
Cd2 0.8750 0.7850 0.7500
Cd3 0.3750 0.4650 0.7500
Cd4 0.5350 0.1250 0.2500
O2 0.2500 0.7500 0.5000

***

A plane-wave DFT calculation with PBE was carried out for an optimized crystal structure of FeB3Mo.

Calculated values
ΔH_f (0 K) = 0.82 eV per atom
Offset from the most stable computed form = 0 meV/atom

abc: 3.6860 3.6860 3.6860
angles: 90.00 90.00 90.00
Each line ends with the local moment (μB).
Fractional coordinates of all 5 atoms:
B1 0.0000 0.5000 0.0000  -0.01
Mo1 0.5000 0.5000 0.5000  0.80
B2 0.5000 0.0000 0.0000  -0.03
B3 0.0000 0.0000 0.5000  -0.03
Fe1 0.0000 0.0000 0.0000  0.44

***

A plane-wave DFT calculation with PBE was carried out for an optimized crystal structure of Ta2AuCl.

Calculated values
Formation energy from raw total energies = 0.44 eV/atom
Offset from the most stable computed form = 592 meV/atom

abc: 5.5656 5.4026 2.8952
angles: 78.69 81.98 118.53
Fractional coordinates of all 4 atoms:
Cl1 0.5000 0.5000 0.0000
Ta1 0.5000 0.0000 0.5000
Ta2 0.0000 0.0000 0.0000
Au1 0.0000 0.5000 0.5000

***

A plane-wave DFT calculation with PBE was carried out for an optimized crystal structure of AcDyHo3Tm.

Calculated values
ΔH_f (0 K) = 0.14 eV per atom

abc: 4.9212 10.2609 8.4413
angles: 90.08 90.00 103.87
Fractional coordinates of all 12 atoms:
Dy1 0.0725 0.1449 0.3778
Ho1 0.4527 0.9054 0.3469
Ac1 0.6000 0.2000 0.0587
Ho2 0.8435 0.6871 0.2544
Ho3 0.1565 0.3129 0.7456
Ho4 0.7667 0.5333 0.8459
Tm1 0.6920 0.3841 0.4545
Ho5 0.5473 0.0946 0.6531
Ac2 0.4000 0.8000 0.9413
Dy2 0.9275 0.8551 0.6222
Tm2 0.3080 0.6159 0.5455
Ho6 0.2333 0.4667 0.1541

***

A plane-wave DFT calculation with PBE was carried out for an optimized crystal structure of DyTh2Tl.

Calculated values
ΔH_f (0 K) = -0.08 eV per atom
Offset from the most stable computed form = 18 meV/atom

abc: 4.7200 4.6950 11.5431
angles: 90.00 101.87 90.00
Fractional coordinates of all 8 atoms:
Th1 0.9394 0.2500 0.8794
Dy1 0.6949 0.7500 0.3876
Th2 0.0606 0.7500 0.1206
Th3 0.4384 0.7500 0.8776
Tl1 0.1718 0.2500 0.3406
Dy2 0.3051 0.2500 0.6124
Th4 0.5616 0.2500 0.1224
Tl2 0.8282 0.7500 0.6594

***

A plane-wave DFT calculation with PBE was carried out for an optimized crystal structure of KHoAgTe3.

Calculated values
Formation energy from raw total energies = -0.90 eV/atom

abc: 4.2854 8.5593 11.3019
angles: 90.00 90.00 104.50
Fractional coordinates of all 12 atoms:
Te1 0.9205 0.8410 0.2500
Ho1 0.0000 0.0000 0.0000
Te2 0.6290 0.2581 0.0499
Ho2 0.0000 0.0000 0.5000
Te3 0.3710 0.7419 0.5499
Ag1 0.4684 0.9369 0.7500
Te4 0.3710 0.7419 0.9501
Te5 0.0795 0.1590 0.7500
K1 0.7580 0.5160 0.7500
Te6 0.6290 0.2581 0.4501
Ag2 0.5316 0.0631 0.2500
K2 0.2420 0.4840 0.2500